1.
! PmNdInRu (PBE-GGA, relaxed); values from VASP
! **Relative energy among the computed polymorphs**: 0.41 eV per formula unit
! **Energy of formation**: -0.2165 eV per atom
&SYSTEM
  ibrav = 0, nat = 4, ntyp = 4
/
ATOMIC_SPECIES
Nd 144.24 Nd.upf
Ru 101.07 Ru.upf
In 114.82 In.upf
Pm 145.00 Pm.upf
CELL_PARAMETERS angstrom
-4.5809 2.4618 0.3717
-3.9794 -2.2610 2.4971
-1.5898 1.8680 4.6007
ATOMIC_POSITIONS crystal
Nd 0.0000 0.0000 0.0000
Ru 0.7500 0.7500 0.7500
In 0.2500 0.2500 0.2500
Pm 0.5000 0.5000 0.5000

=====

2.
! PmNdInRu (PBE-GGA, relaxed); values from VASP
! **Relative energy among the computed polymorphs**: 0.00 eV per formula unit
! **Energy of formation**: -0.3194 eV per atom
&SYSTEM
  ibrav = 0, nat = 4, ntyp = 4
/
ATOMIC_SPECIES
In 114.82 In.upf
Pm 145.00 Pm.upf
Ru 101.07 Ru.upf
Nd 144.24 Nd.upf
CELL_PARAMETERS angstrom
-1.6405 -1.0545 2.8460
2.7350 -1.9164 0.8664
3.2934 6.6769 4.3723
ATOMIC_POSITIONS crystal
In 0.0000 0.0000 0.0732
Pm 0.5000 0.5000 0.3684
Ru 0.0000 0.0000 0.5690
Nd 0.5000 0.5000 0.7740

=====

3.
! PmNdInSb (PBE-GGA, relaxed); values from VASP
! **ΔE_f (raw)**: -590 meV per atom
&SYSTEM
  ibrav = 0, nat = 4, ntyp = 4
/
ATOMIC_SPECIES
Sb 121.76 Sb.upf
In 114.82 In.upf
Pm 145.00 Pm.upf
Nd 144.24 Nd.upf
CELL_PARAMETERS angstrom
-5.3805 -0.6957 -0.7978
-1.7736 -3.3645 -3.9502
-2.3737 -4.7644 1.3177
ATOMIC_POSITIONS crystal
Sb 0.0000 0.0000 0.0000
In 0.5000 0.5000 0.5000
Pm 0.2500 0.2500 0.2500
Nd 0.7500 0.7500 0.7500

=====

4.
! PmNdSc2In4 (PBE-GGA, relaxed); values from VASP
! **Energy of formation**: -0.4339 eV per atom
&SYSTEM
  ibrav = 0, nat = 8, ntyp = 4
/
ATOMIC_SPECIES
Nd 144.24 Nd.upf
In 114.82 In.upf
Sc 44.96 Sc.upf
Pm 145.00 Pm.upf
CELL_PARAMETERS angstrom
5.2594 0.0000 0.0000
2.6297 4.5547 0.0000
2.6297 1.5182 8.6041
ATOMIC_POSITIONS crystal
Nd 0.0000 0.0000 0.0000
In 0.1254 0.1254 0.6239
In 0.8746 0.8746 0.3761
In 0.3753 0.3753 0.8741
In 0.6247 0.6247 0.1259
Sc 0.2499 0.2499 0.2502
Sc 0.7501 0.7501 0.7498
Pm 0.5000 0.5000 0.5000

=====

5.
! PmNdScIn (PBE-GGA, relaxed); values from VASP
! **Relative energy among the computed polymorphs**: 0.21 eV per formula unit
! **Energy of formation**: -0.1673 eV per atom
&SYSTEM
  ibrav = 0, nat = 4, ntyp = 4
/
ATOMIC_SPECIES
Sc 44.96 Sc.upf
Pm 145.00 Pm.upf
Nd 144.24 Nd.upf
In 114.82 In.upf
CELL_PARAMETERS angstrom
-1.2637 -1.4731 5.1072
-4.8548 -2.2676 1.0671
-0.3123 -5.2929 1.3185
ATOMIC_POSITIONS crystal
Sc 0.0000 0.0000 0.0000
Pm 0.2500 0.2500 0.2500
Nd 0.7500 0.7500 0.7500
In 0.5000 0.5000 0.5000

=====

6.
! PmNdScIn (PBE-GGA, relaxed); values from VASP
! **Relative energy among the computed polymorphs**: 0.00 eV per formula unit
! **Energy of formation**: -0.2210 eV per atom
&SYSTEM
  ibrav = 0, nat = 8, ntyp = 4
/
ATOMIC_SPECIES
Sc 44.96 Sc.upf
Pm 145.00 Pm.upf
In 114.82 In.upf
Nd 144.24 Nd.upf
CELL_PARAMETERS angstrom
4.8048 0.0000 0.0000
0.0000 4.8048 0.0000
0.0000 0.0000 9.7370
ATOMIC_POSITIONS crystal
Sc 0.0000 0.0000 0.5000
Sc 0.5000 0.5000 0.5000
Pm 0.0000 0.5000 0.7415
Pm 0.5000 0.0000 0.2585
In 0.0000 0.5000 0.2780
In 0.5000 0.0000 0.7220
Nd 0.5000 0.5000 0.0000
Nd 0.0000 0.0000 0.0000

=====

7.
! PmNd2Sm5In (PBE-GGA, relaxed); values from VASP
! **Energy of formation**: -0.0164 eV per atom
&SYSTEM
  ibrav = 0, nat = 18, ntyp = 4
/
ATOMIC_SPECIES
Sm 150.36 Sm.upf
In 114.82 In.upf
Nd 144.24 Nd.upf
Pm 145.00 Pm.upf
CELL_PARAMETERS angstrom
5.5405 0.0000 0.0000
-2.7703 10.0963 0.0000
0.0000 0.0000 10.8452
ATOMIC_POSITIONS crystal
Sm 0.7091 0.4183 0.8090
Sm 0.2910 0.5819 0.7075
Sm 0.0133 0.0267 0.0083
Sm 0.5000 0.9999 0.7582
Sm 0.7090 0.4181 0.2075
Sm 0.3848 0.7695 0.0082
Sm 0.5000 0.0001 0.2582
Sm 0.2909 0.5817 0.3090
Sm 0.9867 0.9733 0.5083
Sm 0.6152 0.2305 0.5082
In 0.4065 0.8131 0.5080
In 0.5935 0.1869 0.0080
Nd 0.8835 0.7669 0.2125
Nd 0.1165 0.2330 0.3040
Nd 0.8835 0.7670 0.8040
Nd 0.1165 0.2331 0.7125
Pm 0.7970 0.5939 0.5083
Pm 0.2030 0.4061 0.0083

=====

8.
! PmNdSmIn (PBE-GGA, relaxed); values from VASP
! **Relative energy among the computed polymorphs**: 0.48 eV per formula unit
! **Energy of formation**: -0.1297 eV per atom
&SYSTEM
  ibrav = 0, nat = 4, ntyp = 4
/
ATOMIC_SPECIES
Nd 144.24 Nd.upf
In 114.82 In.upf
Pm 145.00 Pm.upf
Sm 150.36 Sm.upf
CELL_PARAMETERS angstrom
-3.0496 2.1698 4.1451
-1.8211 -3.2782 4.1385
2.1864 0.4868 5.1160
ATOMIC_POSITIONS crystal
Nd 0.0000 0.0000 0.0000
In 0.2500 0.2500 0.2500
Pm 0.7500 0.7500 0.7500
Sm 0.5000 0.5000 0.5000

=====

9.
! PmNdSmIn (PBE-GGA, relaxed); values from VASP
! **Relative energy among the computed polymorphs**: 0.00 eV per formula unit
! **Energy of formation**: -0.2493 eV per atom
&SYSTEM
  ibrav = 0, nat = 4, ntyp = 4
/
ATOMIC_SPECIES
Pm 145.00 Pm.upf
Nd 144.24 Nd.upf
Sm 150.36 Sm.upf
In 114.82 In.upf
CELL_PARAMETERS angstrom
-4.2709 -2.3695 -0.1388
2.3452 -4.2566 0.5052
0.5810 3.7043 4.8847
ATOMIC_POSITIONS crystal
Pm 0.5000 0.5000 0.0000
Nd 0.7500 0.2500 0.5000
Sm 0.0000 0.0000 0.0000
In 0.2500 0.7500 0.5000

=====

10.
! Pm2Nd3Sm6In (PBE-GGA, relaxed); values from VASP
! **Energy of formation**: -0.0487 eV per atom
&SYSTEM
  ibrav = 0, nat = 12, ntyp = 4
/
ATOMIC_SPECIES
Sm 150.36 Sm.upf
Pm 145.00 Pm.upf
Nd 144.24 Nd.upf
In 114.82 In.upf
CELL_PARAMETERS angstrom
6.2404 -0.0063 0.0030
-3.1241 5.4021 0.0030
-1.0561 -1.8285 11.7579
ATOMIC_POSITIONS crystal
Sm 0.7571 0.7571 0.2468
Sm 0.4074 0.0819 0.2454
Sm 0.2429 0.2429 0.7532
Sm 0.0819 0.4074 0.2454
Sm 0.9181 0.5926 0.7546
Sm 0.5926 0.9181 0.7546
Pm 0.6664 0.3336 0.0000
Pm 0.3336 0.6664 0.0000
Nd 0.5000 0.5000 0.5000
Nd 0.1685 0.8315 0.5000
Nd 0.8315 0.1685 0.5000
In 0.0000 0.0000 0.0000

=====

11.
! Pm2Nd2Sm2In (PBE-GGA, relaxed); values from VASP
! **Energy of formation**: 0.0037 eV per atom
&SYSTEM
  ibrav = 0, nat = 7, ntyp = 4
/
ATOMIC_SPECIES
Sm 150.36 Sm.upf
Nd 144.24 Nd.upf
Pm 145.00 Pm.upf
In 114.82 In.upf
CELL_PARAMETERS angstrom
3.5479 0.0000 0.0000
-1.7740 8.9708 -1.1251
0.0000 -3.1403 7.6801
ATOMIC_POSITIONS crystal
Sm 0.7784 0.5568 0.3597
Sm 0.2216 0.4432 0.6403
Nd 0.6411 0.2821 0.8867
Nd 0.3589 0.7179 0.1133
Pm 0.4336 0.8673 0.7511
Pm 0.5664 0.1327 0.2489
In 0.0000 0.0000 0.5000

=====

12.
! Pm3Nd2Sm6In (PBE-GGA, relaxed); values from VASP
! **Energy of formation**: -0.0520 eV per atom
&SYSTEM
  ibrav = 0, nat = 12, ntyp = 4
/
ATOMIC_SPECIES
Nd 144.24 Nd.upf
In 114.82 In.upf
Sm 150.36 Sm.upf
Pm 145.00 Pm.upf
CELL_PARAMETERS angstrom
-4.3487 -0.1403 -4.4615
3.1574 -5.1733 1.4507
-7.7479 -0.9283 9.0465
ATOMIC_POSITIONS crystal
Nd 0.6663 0.3337 0.0000
Nd 0.3337 0.6663 0.0000
In 0.0000 0.0000 0.0000
Sm 0.2431 0.2431 0.7517
Sm 0.9182 0.5928 0.7532
Sm 0.7569 0.7569 0.2483
Sm 0.4072 0.0818 0.2468
Sm 0.0818 0.4072 0.2468
Sm 0.5928 0.9182 0.7532
Pm 0.5000 0.5000 0.5000
Pm 0.8317 0.1683 0.5000
Pm 0.1683 0.8317 0.5000

=====

13.
! Pm3Nd6Sm2In (PBE-GGA, relaxed); values from VASP
! **Energy of formation**: -0.0448 eV per atom
&SYSTEM
  ibrav = 0, nat = 12, ntyp = 4
/
ATOMIC_SPECIES
Sm 150.36 Sm.upf
Pm 145.00 Pm.upf
Nd 144.24 Nd.upf
In 114.82 In.upf
CELL_PARAMETERS angstrom
6.2783 -0.0110 -0.0002
-3.1472 5.4326 -0.0002
-1.0654 -1.8447 11.7910
ATOMIC_POSITIONS crystal
Sm 0.3339 0.6661 0.0000
Sm 0.6661 0.3339 0.0000
Pm 0.1687 0.8313 0.5000
Pm 0.8313 0.1687 0.5000
Pm 0.5000 0.5000 0.5000
Nd 0.0812 0.4066 0.2458
Nd 0.5934 0.9188 0.7542
Nd 0.4066 0.0812 0.2458
Nd 0.9188 0.5934 0.7542
Nd 0.7568 0.7568 0.2476
Nd 0.2432 0.2432 0.7524
In 0.0000 0.0000 0.0000

=====

14.
! TbPmNdIn (PBE-GGA, relaxed); values from VASP
! **Relative energy among the computed polymorphs**: 0.00 eV per formula unit
! **Energy of formation**: -0.2401 eV per atom
&SYSTEM
  ibrav = 0, nat = 4, ntyp = 4
/
ATOMIC_SPECIES
Nd 144.24 Nd.upf
Tb 158.93 Tb.upf
Pm 145.00 Pm.upf
In 114.82 In.upf
CELL_PARAMETERS angstrom
-2.6472 -2.3899 -3.3138
3.7798 0.0667 -3.0676
1.0482 -3.2520 5.0840
ATOMIC_POSITIONS crystal
Nd 0.7500 0.2500 0.5000
Tb 0.0000 0.0000 0.0000
Pm 0.5000 0.5000 0.0000
In 0.2500 0.7500 0.5000

=====

15.
! TbPmNdIn (PBE-GGA, relaxed); values from VASP
! **Relative energy among the computed polymorphs**: 0.48 eV per formula unit
! **Energy of formation**: -0.1207 eV per atom
&SYSTEM
  ibrav = 0, nat = 4, ntyp = 4
/
ATOMIC_SPECIES
In 114.82 In.upf
Tb 158.93 Tb.upf
Pm 145.00 Pm.upf
Nd 144.24 Nd.upf
CELL_PARAMETERS angstrom
-2.9753 -3.2287 3.4021
0.8888 -5.4817 0.1091
2.4102 -2.3351 4.4260
ATOMIC_POSITIONS crystal
In 0.2500 0.2500 0.2500
Tb 0.5000 0.5000 0.5000
Pm 0.7500 0.7500 0.7500
Nd 0.0000 0.0000 0.0000

=====

16.
! Tb6Pm3Nd2In (PBE-GGA, relaxed); values from VASP
! **Energy of formation**: -0.0555 eV per atom
&SYSTEM
  ibrav = 0, nat = 12, ntyp = 4
/
ATOMIC_SPECIES
Tb 158.93 Tb.upf
Pm 145.00 Pm.upf
In 114.82 In.upf
Nd 144.24 Nd.upf
CELL_PARAMETERS angstrom
6.1682 -0.0031 0.0023
-3.0853 5.3411 0.0023
-1.0384 -1.7980 11.6504
ATOMIC_POSITIONS crystal
Tb 0.2442 0.2442 0.7520
Tb 0.4082 0.0818 0.2468
Tb 0.7558 0.7558 0.2480
Tb 0.9182 0.5918 0.7532
Tb 0.0818 0.4082 0.2468
Tb 0.5918 0.9182 0.7532
Pm 0.5000 0.5000 0.5000
Pm 0.8324 0.1676 0.5000
Pm 0.1676 0.8324 0.5000
In 0.0000 0.0000 0.0000
Nd 0.3338 0.6662 0.0000
Nd 0.6662 0.3338 0.0000

=====

17.
! PmNd2In3Te6 (PBE-GGA, relaxed); values from VASP
! **ΔE_f (raw)**: -992 meV per atom
&SYSTEM
  ibrav = 0, nat = 12, ntyp = 4
/
ATOMIC_SPECIES
In 114.82 In.upf
Te 127.60 Te.upf
Nd 144.24 Nd.upf
Pm 145.00 Pm.upf
CELL_PARAMETERS angstrom
7.8207 -0.0019 0.0000
-3.9100 6.7730 0.0000
-1.3042 -2.2581 8.1129
ATOMIC_POSITIONS crystal
In 0.5000 0.5000 0.5000
In 0.8329 0.1671 0.5000
In 0.1671 0.8329 0.5000
Te 0.7440 0.7440 0.2270
Te 0.5928 0.9245 0.7735
Te 0.4072 0.0755 0.2265
Te 0.0755 0.4072 0.2265
Te 0.2560 0.2560 0.7730
Te 0.9245 0.5928 0.7735
Nd 0.3334 0.6666 0.0000
Nd 0.6666 0.3334 0.0000
Pm 0.0000 0.0000 0.0000

=====

18.
! PmNdTiIn (PBE-GGA, relaxed); values from VASP
! **Energy of formation**: -0.0589 eV per atom
&SYSTEM
  ibrav = 0, nat = 4, ntyp = 4
/
ATOMIC_SPECIES
Nd 144.24 Nd.upf
Pm 145.00 Pm.upf
Ti 47.87 Ti.upf
In 114.82 In.upf
CELL_PARAMETERS angstrom
-1.5550 -3.1754 -4.0630
2.2537 -4.8494 -0.6424
-2.8590 -4.4527 1.0043
ATOMIC_POSITIONS crystal
Nd 0.7500 0.7500 0.7500
Pm 0.2500 0.2500 0.2500
Ti 0.0000 0.0000 0.0000
In 0.5000 0.5000 0.5000

=====

19.
! Pm3Nd3TlIn2 (PBE-GGA, relaxed); values from VASP
! **Energy of formation**: -0.3044 eV per atom
&SYSTEM
  ibrav = 0, nat = 9, ntyp = 4
/
ATOMIC_SPECIES
In 114.82 In.upf
Nd 144.24 Nd.upf
Pm 145.00 Pm.upf
Tl 204.38 Tl.upf
CELL_PARAMETERS angstrom
-3.1060 2.1650 -0.5500
-5.2609 -7.5629 -0.0600
1.6595 4.3942 7.9256
ATOMIC_POSITIONS crystal
In 0.5000 0.6667 0.3333
In 0.5000 0.3333 0.6667
Nd 0.5000 0.7131 0.0000
Nd 0.5000 0.0000 0.7131
Nd 0.5000 0.2869 0.2869
Pm 0.0000 0.0000 0.3866
Pm 0.0000 0.6134 0.6134
Pm 0.0000 0.3866 0.0000
Tl 0.0000 0.0000 0.0000

=====

20.
! PmNdTm2In4 (PBE-GGA, relaxed); values from VASP
! **Energy of formation**: -0.4577 eV per atom
&SYSTEM
  ibrav = 0, nat = 8, ntyp = 4
/
ATOMIC_SPECIES
Nd 144.24 Nd.upf
Tm 168.93 Tm.upf
In 114.82 In.upf
Pm 145.00 Pm.upf
CELL_PARAMETERS angstrom
-1.8724 -4.9098 -1.0522
3.1538 -4.2765 0.6958
-2.3656 -3.7733 8.1688
ATOMIC_POSITIONS crystal
Nd 0.0000 0.0000 0.0000
Tm 0.7500 0.7500 0.7500
Tm 0.2500 0.2500 0.2500
In 0.6247 0.6247 0.1260
In 0.1254 0.1254 0.6239
In 0.3753 0.3753 0.8740
In 0.8746 0.8746 0.3761
Pm 0.5000 0.5000 0.5000

=====

21.
! Pm5Nd2TmIn (PBE-GGA, relaxed); values from VASP
! **Energy of formation**: -0.0138 eV per atom
&SYSTEM
  ibrav = 0, nat = 18, ntyp = 4
/
ATOMIC_SPECIES
Pm 145.00 Pm.upf
Nd 144.24 Nd.upf
In 114.82 In.upf
Tm 168.93 Tm.upf
CELL_PARAMETERS angstrom
-1.9184 -3.9571 3.3412
10.2322 -1.9318 -0.9847
2.0112 6.2771 8.5891
ATOMIC_POSITIONS crystal
Pm 0.2898 0.5791 0.7074
Pm 0.5000 0.9999 0.7582
Pm 0.3798 0.7602 0.0082
Pm 0.6202 0.2400 0.5083
Pm 0.9856 0.9717 0.5083
Pm 0.7102 0.4208 0.2075
Pm 0.7102 0.4209 0.8090
Pm 0.5000 0.0001 0.2582
Pm 0.0144 0.0283 0.0083
Pm 0.2897 0.5791 0.3090
Nd 0.8838 0.7674 0.8025
Nd 0.8838 0.7674 0.2140
Nd 0.1162 0.2326 0.3025
Nd 0.1162 0.2325 0.7141
In 0.4044 0.8096 0.5081
In 0.5956 0.1903 0.0081
Tm 0.2009 0.4020 0.0082
Tm 0.7991 0.5981 0.5082

=====

22.
! Pm6Nd2Tm3In (PBE-GGA, relaxed); values from VASP
! **Energy of formation**: -0.0510 eV per atom
&SYSTEM
  ibrav = 0, nat = 12, ntyp = 4
/
ATOMIC_SPECIES
Tm 168.93 Tm.upf
Nd 144.24 Nd.upf
Pm 145.00 Pm.upf
In 114.82 In.upf
CELL_PARAMETERS angstrom
6.1818 -0.0050 -0.0006
-3.0938 5.3520 -0.0006
-1.0303 -1.7839 11.6589
ATOMIC_POSITIONS crystal
Tm 0.5000 0.5000 0.5000
Tm 0.8330 0.1670 0.5000
Tm 0.1670 0.8330 0.5000
Nd 0.6663 0.3337 0.0000
Nd 0.3337 0.6663 0.0000
Pm 0.9160 0.5900 0.7475
Pm 0.7582 0.7582 0.2532
Pm 0.5900 0.9160 0.7475
Pm 0.2418 0.2418 0.7468
Pm 0.0840 0.4100 0.2525
Pm 0.4100 0.0840 0.2525
In 0.0000 0.0000 0.0000

=====

23.
! Pm2Nd2Tm2In (PBE-GGA, relaxed); values from VASP
! **Energy of formation**: -0.0301 eV per atom
&SYSTEM
  ibrav = 0, nat = 7, ntyp = 4
/
ATOMIC_SPECIES
Pm 145.00 Pm.upf
Tm 168.93 Tm.upf
Nd 144.24 Nd.upf
In 114.82 In.upf
CELL_PARAMETERS angstrom
3.6921 0.0000 0.0000
-1.8460 6.0107 -1.2871
0.0000 -3.1073 11.0624
ATOMIC_POSITIONS crystal
Pm 0.3154 0.6307 0.9076
Pm 0.6846 0.3693 0.0924
Tm 0.7365 0.4730 0.6165
Tm 0.2635 0.5270 0.3835
Nd 0.5174 0.0347 0.7434
Nd 0.4826 0.9653 0.2566
In 0.0000 0.0000 0.5000

=====

24.
! Pm6Nd3Y2In (PBE-GGA, relaxed); values from VASP
! **Energy of formation**: -0.0366 eV per atom
&SYSTEM
  ibrav = 0, nat = 12, ntyp = 4
/
ATOMIC_SPECIES
Pm 145.00 Pm.upf
Y 88.91 Y.upf
Nd 144.24 Nd.upf
In 114.82 In.upf
CELL_PARAMETERS angstrom
-5.0079 -3.7458 0.3151
5.1465 -1.3363 3.3071
-4.1804 8.0179 7.7308
ATOMIC_POSITIONS crystal
Pm 0.0798 0.4054 0.2434
Pm 0.5946 0.9202 0.7566
Pm 0.2452 0.2452 0.7542
Pm 0.9202 0.5946 0.7566
Pm 0.7548 0.7548 0.2458
Pm 0.4054 0.0798 0.2434
Y 0.3340 0.6660 0.0000
Y 0.6660 0.3340 0.0000
Nd 0.5000 0.5000 0.5000
Nd 0.1691 0.8309 0.5000
Nd 0.8309 0.1691 0.5000
In 0.0000 0.0000 0.0000